GdInCoSe3 GGA-PBE relaxed; crystal system = orthorhombic; energy = -5.003 eV/atom; total magnetic moment = 2.47 μB per formula unit
1.0
-2.772 -1.863 -2.168
3.553 -5.727 -3.276
-2.351 -6.251 8.376
In Se Gd Co
2 6 2 2
Cartesian
-2.115 -8.901 3.040
0.545 -4.940 -0.108
-2.629 -4.135 -0.399
-2.259 -7.954 6.066
1.059 -9.706 3.330
0.689 -5.887 -3.134
-1.449 -5.801 3.180
-0.121 -8.040 -0.249
-1.176 -3.125 4.188
0.000 0.000 0.000
1.338 -7.987 -2.159
-2.908 -5.854 5.091

***

ErLu2ZnIn2 GGA-PBE relaxed; crystal system = hexagonal; energy = -3.635 eV/atom; total magnetic moment = 0.01 μB per formula unit
1.0
-4.304 1.938 -1.683
0.126 -4.703 1.725
-1.455 2.295 6.365
Zn In Er Lu
1 2 1 2
Cartesian
-0.728 1.148 3.182
0.000 0.000 0.000
-2.079 -1.342 3.771
-1.351 -2.490 0.589
-3.205 0.320 1.105
-3.905 1.423 4.166

***

Gd2BiO4 GGA-PBE relaxed; crystal system = cubic; energy = -7.263 eV/atom; total magnetic moment = 0.01 μB per formula unit
1.0
1.945 5.666 3.611
-2.656 0.696 -6.434
-4.130 -1.959 5.294
O Gd Bi
8 4 2
Cartesian
-3.360 0.782 -2.332
-1.010 2.823 2.887
-5.164 -0.376 0.453
-4.022 -0.675 3.222
-4.327 2.062 2.008
-2.244 0.168 0.943
-2.524 3.220 -0.777
-2.788 1.980 5.166
-1.779 2.402 -2.809
-3.844 1.422 -0.162
-1.544 3.907 4.860
-2.516 1.074 3.055
-0.902 4.107 0.815
0.000 0.000 0.000

***

Nb4BiC3 GGA-PBE relaxed; crystal system = hexagonal; energy = -9.346 eV/atom; total magnetic moment = 0.00 μB per formula unit
1.0
3.234 0.000 0.000
-1.617 2.801 0.000
0.000 0.000 24.970
C Nb Bi
6 8 2
Cartesian
1.617 0.934 9.866
1.617 0.934 2.619
0.000 0.000 0.000
0.000 1.867 15.104
0.000 1.867 22.351
0.000 0.000 12.485
0.000 1.867 11.160
0.000 0.000 3.739
1.617 0.934 23.646
1.617 0.934 13.810
0.000 0.000 16.224
0.000 0.000 21.231
0.000 0.000 8.746
0.000 1.867 1.325
0.000 1.867 6.243
1.617 0.934 18.728